Record 1
A plane-wave DFT calculation with PBE was carried out for crystalline PrNd2Y2Er2 at its relaxed geometry.

Lattice parameters (Å, degrees): 3.5388 6.1718 11.8989 72.27 90.00 106.66
Closest atoms and distances in Å follow each position.
Positions (direct):
Y 0.4512 0.9025 0.7724  3 Er 3.52-3.60, 4 Nd 3.53-3.65, 2 Y 3.54, 2 Pr 3.58
Y 0.5488 0.0975 0.2276  3 Er 3.52-3.60, 4 Nd 3.53-3.65, 2 Y 3.54, 2 Pr 3.58
Nd 0.6723 0.3446 0.9154  4 Y 3.53-3.65, 5 Nd 3.54-3.93, 2 Er 3.63
Nd 0.3277 0.6554 0.0846  4 Y 3.53-3.65, 5 Nd 3.54-3.93, 2 Er 3.63
Pr 0.0000 0.0000 0.5000  2 Pr 3.54, 6 Er 3.54-3.59, 4 Y 3.58
Er 0.7737 0.5475 0.3634  3 Y 3.52-3.60, 4 Er 3.54-3.58, 3 Pr 3.54-3.59, 2 Nd 3.63
Er 0.2263 0.4525 0.6366  3 Y 3.52-3.60, 4 Er 3.54-3.58, 3 Pr 3.54-3.59, 2 Nd 3.63

Its density of states at the Fermi level is 12.10 states/eV per cell. The formation energy comes out at 87 meV/atom. The value obtained for the density is 6.62 g cm⁻³. The calculation puts the total energy at -5.109 eV per atom.

Record 2
A plane-wave DFT calculation with PBE was carried out for crystalline CaMnSi2 at its relaxed geometry.

Lattice parameters (Å, degrees): 4.4265 4.4265 4.4265 60.00 60.00 60.00
Closest atoms and distances in Å follow each position.
Positions (direct):
Si 0.2500 0.2500 0.2500  4 Mn 2.71, 4 Ca 2.71
Si 0.7500 0.7500 0.7500  4 Mn 2.71, 4 Ca 2.71
Mn 0.5000 0.5000 0.5000  8 Si 2.71
Ca 0.0000 0.0000 0.0000  8 Si 2.71

Its density of states at the Fermi level is 4.66 states/eV per cell. The value obtained for the density is 4.09 g cm⁻³. The calculation puts the total energy at -5.283 eV per atom. For the uncorrected formation energy, the calculation gives 0.9 eV/f.u.

Record 3
A plane-wave DFT calculation with PBE was carried out for crystalline Tb6Co2CCl3 at its relaxed geometry.

Lattice parameters (Å, degrees): 6.6262 6.6262 7.4888 98.26 98.26 120.08
Closest atoms and distances in Å follow each position.
Positions (direct):
Cl 0.1582 0.8418 0.5000  6 Tb 3.05-3.28
Cl 0.5000 0.5000 0.5000  6 Tb 3.11-3.17
Cl 0.8418 0.1582 0.5000  6 Tb 3.05-3.28
Tb 0.2587 0.2587 0.8091  1 C 2.53, 2 Co 2.65
Tb 0.0609 0.3786 0.1911  1 C 2.51, 2 Co 2.63-2.65
Tb 0.3786 0.0609 0.1911  1 C 2.51, 2 Co 2.63-2.65
Tb 0.7413 0.7413 0.1909  1 C 2.53, 2 Co 2.65
Tb 0.6214 0.9391 0.8089  1 C 2.51, 2 Co 2.63-2.65
Tb 0.9391 0.6214 0.8089  1 C 2.51, 2 Co 2.63-2.65
Co 0.6679 0.3321 0.0000  6 Tb 2.63-2.65
Co 0.3321 0.6679 0.0000  6 Tb 2.63-2.65
C 0.0000 0.0000 0.0000  6 Tb 2.51-2.53

Its density of states at the Fermi level is 9.14 states/eV per cell. The value obtained for the density is 7.25 g cm⁻³. The calculation puts the total energy at -5.614 eV per atom. For the uncorrected formation energy, the calculation gives -10.6 eV/f.u.

Record 4
A plane-wave DFT calculation with PBE was carried out for crystalline SrPtN2O at its relaxed geometry.

Lattice parameters (Å, degrees): 3.8436 4.7330 3.8436 90.00 90.00 90.00
Closest atoms and distances in Å follow each position.
Positions (direct):
Pt 0.0000 0.0000 0.0000  4 N 1.92
N 0.5000 0.0000 0.0000  2 Pt 1.92
N 0.0000 0.0000 0.5000  2 Pt 1.92
Sr 0.5000 0.5000 0.5000  4 O 2.72
O 0.0000 0.5000 0.0000  2 Pt 2.37

Its density of states at the Fermi level is 3.04 states/eV per cell. The value obtained for the density is 7.76 g cm⁻³. The calculation puts the total energy at -5.873 eV per atom. For the uncorrected formation energy, the calculation gives 0.0 eV/f.u.

Record 5
A plane-wave DFT calculation with PBE was carried out for crystalline La8Ru3Cl3O at its relaxed geometry.

Lattice parameters (Å, degrees): 8.1278 8.1254 8.9219 117.10 89.99 120.02
Closest atoms and distances in Å follow each position.
Positions (direct):
La 0.7737 0.0305 0.3044  1 O 2.71, 2 Ru 2.81
La 0.2263 0.9695 0.6956  1 O 2.71, 2 Ru 2.81
La 0.7381 0.4764 0.7140  3 Ru 2.85, 1 Cl 3.19
La 0.2619 0.5236 0.2860  3 Ru 2.85, 1 Cl 3.19
La 0.7433 0.9697 0.6955  1 O 2.71, 2 Ru 2.81
La 0.7738 0.5476 0.3046  1 O 2.71, 2 Ru 2.81
La 0.2567 0.0303 0.3045  1 O 2.71, 2 Ru 2.81
La 0.2262 0.4524 0.6954  1 O 2.71, 2 Ru 2.81
Ru 0.0000 0.5000 0.5000  6 La 2.81-2.85
Ru 0.5000 0.0000 0.5000  6 La 2.81-2.85
Ru 0.5000 0.5000 0.5000  6 La 2.81-2.85
Cl 0.0000 0.5000 0.0000  6 La 3.20-3.27
Cl 0.0000 0.0000 0.0000  6 La 3.19-3.27
Cl 0.5000 0.5000 0.0000  6 La 3.20-3.27
O 0.0000 0.0000 0.5000  6 La 2.71

Its density of states at the Fermi level is 8.66 states/eV per cell. The value obtained for the density is 5.88 g cm⁻³. The calculation puts the total energy at -6.302 eV per atom. For the uncorrected formation energy, the calculation gives -16.8 eV/f.u.

Record 6
A plane-wave DFT calculation with PBE was carried out for crystalline Li4Mg2Hg3 at its relaxed geometry.

Lattice parameters (Å, degrees): 3.9198 6.9073 7.1023 110.58 106.02 90.00
Closest atoms and distances in Å follow each position.
Positions (direct):
Hg 0.1261 0.6546 0.2523  7 Li 2.83-3.09, 3 Mg 2.98-3.03
Hg 0.0000 0.0000 0.0000  4 Mg 2.93, 6 Li 2.94-3.08
Hg 0.8739 0.3454 0.7477  7 Li 2.83-3.09, 3 Mg 2.98-3.03
Li 0.2220 0.3410 0.4440  5 Li 2.83-3.11, 4 Hg 2.85-3.08, 2 Mg 2.95
Li 0.4522 0.6602 0.9044  6 Hg 2.83-3.09, 1 Mg 2.93, 4 Li 2.95-3.11
Li 0.5478 0.3398 0.0956  6 Hg 2.83-3.09, 1 Mg 2.93, 4 Li 2.95-3.11
Li 0.7780 0.6590 0.5560  5 Li 2.83-3.11, 4 Hg 2.85-3.08, 2 Mg 2.95
Mg 0.3408 0.0019 0.6816  5 Hg 2.93-3.03, 4 Li 2.93-3.24, 2 Mg 3.15
Mg 0.6592 0.9981 0.3184  5 Hg 2.93-3.03, 4 Li 2.93-3.24, 2 Mg 3.15

Its density of states at the Fermi level is 2.48 states/eV per cell. The formation energy comes out at -277 meV/atom. The value obtained for the density is 6.55 g cm⁻³. The calculation puts the total energy at -1.583 eV per atom.

Record 7
A plane-wave DFT calculation with PBE was carried out for crystalline ZnCrP2 at its relaxed geometry.

Lattice parameters (Å, degrees): 5.3771 5.3771 6.6479 66.15 66.15 90.00
Closest atoms and distances in Å follow each position.
Positions (direct):
P 0.6036 0.1250 0.2500  2 Cr 2.28, 2 Zn 2.41
P 0.8750 0.8536 0.7500  2 Cr 2.28, 2 Zn 2.41
P 0.3750 0.3964 0.7500  2 Cr 2.28, 2 Zn 2.41
P 0.1464 0.6250 0.2500  2 Cr 2.28, 2 Zn 2.41
Cr 0.5000 0.5000 0.0000  4 P 2.28
Cr 0.2500 0.7500 0.5000  4 P 2.28
Zn 0.0000 0.0000 0.0000  4 P 2.41
Zn 0.7500 0.2500 0.5000  4 P 2.41

Its density of states at the Fermi level is 2.41 states/eV per cell. The formation energy comes out at 5 meV/atom. The value obtained for the density is 3.78 g cm⁻³. The calculation puts the total energy at -5.424 eV per atom.

Record 8
A plane-wave DFT calculation with PBE was carried out for crystalline Sc2TcHg at its relaxed geometry.

Lattice parameters (Å, degrees): 4.7550 4.7550 4.7550 60.00 60.00 60.00
Closest atoms and distances in Å follow each position.
Positions (direct):
Sc 0.2500 0.2500 0.2500  4 Hg 2.91, 4 Sc 2.91
Sc 0.0000 0.0000 0.0000  4 Tc 2.91, 4 Sc 2.91
Tc 0.7500 0.7500 0.7500  4 Sc 2.91, 4 Hg 2.91
Hg 0.5000 0.5000 0.5000  4 Tc 2.91, 4 Sc 2.91

Its density of states at the Fermi level is 5.64 states/eV per cell. The formation energy comes out at 63 meV/atom. The value obtained for the density is 8.49 g cm⁻³. The calculation puts the total energy at -5.769 eV per atom.

Record 9
A plane-wave DFT calculation with PBE was carried out for crystalline CsGe2N at its relaxed geometry.

Lattice parameters (Å, degrees): 6.6378 6.6378 6.8310 60.93 60.93 90.00
Closest atoms and distances in Å follow each position.
Positions (direct):
Ge 0.4581 0.1250 0.2500  2 N 2.14
Ge 0.2919 0.6250 0.2500  2 N 2.14
Ge 0.3750 0.5419 0.7500  2 N 2.14
Ge 0.8750 0.7081 0.7500  2 N 2.14
Cs 0.7500 0.2500 0.5000  4 Ge 3.46
Cs 0.0000 0.0000 0.0000  4 Ge 3.46
N 0.2500 0.7500 0.5000  4 Ge 2.14
N 0.5000 0.5000 0.0000  4 Ge 2.14

Its density of states at the Fermi level is 3.20 states/eV per cell. The value obtained for the density is 4.44 g cm⁻³. The calculation puts the total energy at -3.963 eV per atom. For the uncorrected formation energy, the calculation gives 2.6 eV/f.u.

Record 10
A plane-wave DFT calculation with PBE was carried out for crystalline MnFe at its relaxed geometry.

Lattice parameters (Å, degrees): 2.4614 2.4614 12.1543 90.00 90.00 120.00
Closest atoms and distances in Å follow each position.
Positions (direct):
Fe 0.3333 0.6667 0.1667  6 Fe 2.46, 6 Mn 2.47
Fe 0.6667 0.3333 0.8333  6 Fe 2.46, 6 Mn 2.47
Fe 0.0000 0.0000 0.5000  6 Fe 2.46, 6 Mn 2.47
Mn 0.6667 0.3333 0.3333  6 Mn 2.46, 6 Fe 2.47
Mn 0.0000 0.0000 0.0000  6 Mn 2.46, 6 Fe 2.47
Mn 0.3333 0.6667 0.6667  6 Mn 2.46, 6 Fe 2.47

Its density of states at the Fermi level is 8.01 states/eV per cell. The formation energy comes out at 103 meV/atom. The value obtained for the density is 8.65 g cm⁻³. The calculation puts the total energy at -8.713 eV per atom.